# 1
Compound: RbPaCu2O6
Source: the Alexandria database
Functional: PBE
Structure: optimized geometry

Properties
Symmetry: C2/c, No. 15
Formation energy from raw total energies: -1565 kJ/mol of formula units
DOS at the Fermi energy: 5.5 states/eV/cell
Final energy: -6.4626 eV/atom
Size of the total moment: 0.000 μB/f.u.

abc: 6.657 7.111 7.111
angles: 70.72 74.25 74.25
Fractional coordinates of all 20 atoms:
Rb 0.250 0.889 0.111
Rb 0.750 0.111 0.889
Pa 0.250 0.381 0.619
Pa 0.750 0.619 0.381
Cu 0.288 0.837 0.658
Cu 0.212 0.342 0.163
Cu 0.712 0.163 0.342
Cu 0.788 0.658 0.837
O 0.181 0.087 0.710
O 0.319 0.290 0.913
O 0.819 0.913 0.290
O 0.681 0.710 0.087
O 0.382 0.673 0.485
O 0.118 0.515 0.327
O 0.618 0.327 0.515
O 0.882 0.485 0.673
O 0.073 0.679 0.797
O 0.427 0.203 0.321
O 0.927 0.321 0.203
O 0.573 0.797 0.679



# 2
Compound: Al2TcS2
Source: the Alexandria database
Functional: PBE
Structure: optimized geometry

Properties
Symmetry: I4/mmm, No. 139
Formation energy from raw total energies: 257 kJ/mol of formula units
DOS at the Fermi energy: 4.1 states/eV/cell
Energy above the most stable polymorph in this dataset: 0.558 eV/atom
Final energy: -4.6891 eV/atom
Size of the total moment: 1.437 μB/f.u.

abc: 3.377 3.377 7.908
angles: 77.67 77.67 90.00
Fractional coordinates of all 5 atoms:
S 0.409 0.409 0.181
S 0.591 0.591 0.819
Tc 0.000 0.000 0.000
Al 0.750 0.250 0.500
Al 0.250 0.750 0.500



# 3
Compound: CrHg2Cl
Source: the Alexandria database
Functional: PBE
Structure: optimized geometry

Properties
Symmetry: P2/m, No. 10
Formation energy from raw total energies: -27 kJ/mol of formula units
DOS at the Fermi energy: 1.8 states/eV/cell
Energy above the most stable polymorph in this dataset: 0.027 eV/atom
Final energy: -3.0874 eV/atom
Size of the total moment: 4.548 μB/f.u.

abc: 3.505 7.031 7.046
angles: 39.21 90.00 90.00
Fractional coordinates of all 4 atoms:
Cr 0.500 0.750 0.750
Hg 0.000 0.924 0.927
Hg 0.000 0.576 0.573
Cl 0.500 0.250 0.250



# 4
Compound: LiAlN
Source: the Alexandria database
Functional: PBE
Structure: optimized geometry

Properties
Symmetry: F-43m, No. 216
Formation energy from raw total energies: -56 kJ/mol of formula units
DOS at the Fermi energy: 0.8 states/eV/cell
Energy above the most stable polymorph in this dataset: 0.483 eV/atom
Final energy: -4.8546 eV/atom
Size of the total moment: 0.000 μB/f.u.

abc: 3.477 3.477 3.477
angles: 60.00 60.00 60.00
Fractional coordinates of all 3 atoms:
Li 0.000 0.000 0.000
Al 0.500 0.500 0.500
N 0.250 0.250 0.250